(1)
VASP calculation (PBE) on an optimized crystal structure of InP2Se.

The structure in CIF format:
```
data_InP2Se
_chemical_formula_sum 'In2 P4 Se2'
_cell_length_a 5.4508
_cell_length_b 5.4508
_cell_length_c 7.8634
_cell_angle_alpha 69.72
_cell_angle_beta 69.72
_cell_angle_gamma 90.00
_symmetry_space_group_name_H-M 'P 1'
_symmetry_Int_Tables_number 1
_symmetry_space_group_name_Hall 'P 1'
loop_
_atom_site_label
_atom_site_fract_x
_atom_site_fract_y
_atom_site_fract_z
_atom_site_occupancy
P1 0.6005 0.1250 0.2500 1
P2 0.1495 0.6250 0.2500 1
P3 0.3750 0.3995 0.7500 1
P4 0.8750 0.8505 0.7500 1
Se1 0.5000 0.5000 0.0000 1
Se2 0.2500 0.7500 0.5000 1
In1 0.0000 0.0000 0.0000 1
In2 0.7500 0.2500 0.5000 1
```

Calculated values
**Symmetry**: I-42d
**Excess energy over the best structure of this formula in the dataset**: 0.278 eV/atom
**Total magnetization**: 0.000 μB/cell
**Formation energy (no corrections)**: 0.3036 eV per atom

(2)
VASP calculation (PBE) on an optimized crystal structure of InP2Se.

The structure in CIF format:
```
data_InP2Se
_chemical_formula_sum 'In1 P2 Se1'
_cell_length_a 5.4421
_cell_length_b 5.4421
_cell_length_c 2.7392
_cell_angle_alpha 90.00
_cell_angle_beta 90.00
_cell_angle_gamma 90.00
_symmetry_space_group_name_H-M 'P 1'
_symmetry_Int_Tables_number 1
_symmetry_space_group_name_Hall 'P 1'
loop_
_atom_site_label
_atom_site_fract_x
_atom_site_fract_y
_atom_site_fract_z
_atom_site_occupancy
In1 0.0000 0.0000 0.0000 1
P1 0.5000 0.0000 0.0000 1
P2 0.0000 0.5000 0.0000 1
Se1 0.5000 0.5000 0.0000 1
```

Calculated values
**Symmetry**: P4/mmm
**Excess energy over the best structure of this formula in the dataset**: 0.271 eV/atom
**Total magnetization**: 0.000 μB/cell
**Formation energy (no corrections)**: 0.2965 eV per atom

(3)
VASP calculation (PBE) on an optimized crystal structure of InP2Se.

The structure in CIF format:
```
data_InP2Se
_chemical_formula_sum 'In1 P2 Se1'
_cell_length_a 3.7103
_cell_length_b 6.0397
_cell_length_c 3.7481
_cell_angle_alpha 90.00
_cell_angle_beta 90.00
_cell_angle_gamma 90.00
_symmetry_space_group_name_H-M 'P 1'
_symmetry_Int_Tables_number 1
_symmetry_space_group_name_Hall 'P 1'
loop_
_atom_site_label
_atom_site_fract_x
_atom_site_fract_y
_atom_site_fract_z
_atom_site_occupancy
In1 0.0000 0.5000 0.5000 1
P1 0.0000 0.0000 0.0000 1
P2 0.5000 0.5000 0.0000 1
Se1 0.5000 0.0000 0.5000 1
```

Calculated values
**Symmetry**: Pmmm
**Excess energy over the best structure of this formula in the dataset**: 0.456 eV/atom
**Total magnetization**: 0.000 μB/cell
**Formation energy (no corrections)**: 0.4815 eV per atom

(4)
VASP calculation (PBE) on an optimized crystal structure of InP2Se.

The structure in CIF format:
```
data_InP2Se
_chemical_formula_sum 'In1 P2 Se1'
_cell_length_a 3.8177
_cell_length_b 4.9798
_cell_length_c 4.7806
_cell_angle_alpha 76.28
_cell_angle_beta 90.00
_cell_angle_gamma 90.00
_symmetry_space_group_name_H-M 'P 1'
_symmetry_Int_Tables_number 1
_symmetry_space_group_name_Hall 'P 1'
loop_
_atom_site_label
_atom_site_fract_x
_atom_site_fract_y
_atom_site_fract_z
_atom_site_occupancy
In1 0.5000 0.7500 0.7500 1
P1 0.0000 0.9377 0.0775 1
P2 0.0000 0.5623 0.4225 1
Se1 0.5000 0.2500 0.2500 1
```

Calculated values
**Symmetry**: P2/m
**Excess energy over the best structure of this formula in the dataset**: 0.044 eV/atom
**Total magnetization**: 0.000 μB/cell
**Formation energy (no corrections)**: 0.0695 eV per atom

(5)
VASP calculation (PBE) on an optimized crystal structure of InP2Se.

The structure in CIF format:
```
data_InP2Se
_chemical_formula_sum 'In1 P2 Se1'
_cell_length_a 3.6367
_cell_length_b 5.0690
_cell_length_c 5.1634
_cell_angle_alpha 65.90
_cell_angle_beta 90.00
_cell_angle_gamma 90.00
_symmetry_space_group_name_H-M 'P 1'
_symmetry_Int_Tables_number 1
_symmetry_space_group_name_Hall 'P 1'
loop_
_atom_site_label
_atom_site_fract_x
_atom_site_fract_y
_atom_site_fract_z
_atom_site_occupancy
In1 0.5000 0.7543 0.7557 1
P1 0.0000 0.9956 0.0740 1
P2 0.5000 0.2075 0.2008 1
Se1 0.0000 0.5426 0.4696 1
```

Calculated values
**Symmetry**: Pm
**Excess energy over the best structure of this formula in the dataset**: 0.007 eV/atom
**Total magnetization**: 0.000 μB/cell
**Formation energy (no corrections)**: 0.0324 eV per atom

(6)
VASP calculation (PBE) on an optimized crystal structure of In12P5Se3.

The structure in CIF format:
```
data_In12P5Se3
_chemical_formula_sum 'In48 P20 Se12'
_cell_length_a 14.4526
_cell_length_b 14.4526
_cell_length_c 14.4526
_cell_angle_alpha 109.47
_cell_angle_beta 109.47
_cell_angle_gamma 109.47
_symmetry_space_group_name_H-M 'P 1'
_symmetry_Int_Tables_number 1
_symmetry_space_group_name_Hall 'P 1'
loop_
_atom_site_label
_atom_site_fract_x
_atom_site_fract_y
_atom_site_fract_z
_atom_site_occupancy
Se1 0.7500 0.3750 0.1250 1
Se2 0.8750 0.7500 0.1250 1
Se3 0.3750 0.7500 0.6250 1
Se4 0.2500 0.1250 0.3750 1
Se5 0.8750 0.1250 0.2500 1
Se6 0.3750 0.6250 0.2500 1
Se7 0.6250 0.3750 0.7500 1
Se8 0.1250 0.8750 0.7500 1
Se9 0.7500 0.8750 0.6250 1
Se10 0.6250 0.2500 0.3750 1
Se11 0.1250 0.2500 0.8750 1
Se12 0.2500 0.6250 0.8750 1
P1 0.1250 0.3750 0.2500 1
P2 0.0000 0.5000 0.0000 1
P3 0.0000 0.0000 0.0000 1
P4 0.3750 0.2500 0.1250 1
P5 0.5000 0.0000 0.5000 1
P6 0.5000 0.5000 0.0000 1
P7 0.1250 0.7500 0.3750 1
P8 0.7500 0.1250 0.8750 1
P9 0.7500 0.6250 0.3750 1
P10 0.3750 0.1250 0.7500 1
P11 0.6250 0.8750 0.2500 1
P12 0.5000 0.5000 0.5000 1
P13 0.5000 0.0000 0.0000 1
P14 0.0000 0.0000 0.5000 1
P15 0.2500 0.3750 0.6250 1
P16 0.2500 0.8750 0.1250 1
P17 0.0000 0.5000 0.5000 1
P18 0.8750 0.2500 0.6250 1
P19 0.6250 0.7500 0.8750 1
P20 0.8750 0.6250 0.7500 1
In1 0.7182 0.1383 0.0481 1
In2 0.3299 0.5481 0.4098 1
In3 0.9519 0.3617 0.2818 1
In4 0.5481 0.2182 0.1383 1
In5 0.5799 0.7182 0.6701 1
In6 0.9519 0.5902 0.1701 1
In7 0.3299 0.7818 0.4201 1
In8 0.0902 0.9201 0.1383 1
In9 0.5902 0.9519 0.6701 1
In10 0.7182 0.5799 0.1701 1
In11 0.7818 0.4519 0.3617 1
In12 0.8299 0.9098 0.0481 1
In13 0.1383 0.7182 0.5481 1
In14 0.3617 0.4098 0.0799 1
In15 0.0799 0.9098 0.3617 1
In16 0.4201 0.1383 0.5902 1
In17 0.0799 0.1701 0.2182 1
In18 0.4519 0.6701 0.0902 1
In19 0.8299 0.9201 0.2818 1
In20 0.1383 0.4201 0.0902 1
In21 0.3617 0.9519 0.7818 1
In22 0.5902 0.6383 0.4201 1
In23 0.9098 0.8299 0.5481 1
In24 0.7818 0.3299 0.9201 1
In25 0.4098 0.3617 0.5799 1
In26 0.0902 0.1701 0.4519 1
In27 0.2182 0.6701 0.0799 1
In28 0.1701 0.0799 0.7182 1
In29 0.6383 0.0481 0.2182 1
In30 0.8617 0.5799 0.9098 1
In31 0.5481 0.3299 0.9098 1
In32 0.5799 0.8617 0.4098 1
In33 0.9201 0.8299 0.7818 1
In34 0.9201 0.0902 0.6383 1
In35 0.8617 0.2818 0.4519 1
In36 0.1701 0.0902 0.9519 1
In37 0.6383 0.5902 0.9201 1
In38 0.4098 0.0481 0.3299 1
In39 0.2818 0.4201 0.8299 1
In40 0.2182 0.5481 0.6383 1
In41 0.9098 0.0799 0.8617 1
In42 0.6701 0.2182 0.5799 1
In43 0.4519 0.7818 0.8617 1
In44 0.0481 0.4098 0.8299 1
In45 0.4201 0.2818 0.3299 1
In46 0.0481 0.6383 0.7182 1
In47 0.6701 0.4519 0.5902 1
In48 0.2818 0.8617 0.9519 1
```

Calculated values
**Symmetry**: Ia-3d
**Total magnetization**: 0.000 μB/cell
**Formation energy (no corrections)**: 0.0465 eV per atom

(7)
VASP calculation (PBE) on an optimized crystal structure of InP2Se.

The structure in CIF format:
```
data_InP2Se
_chemical_formula_sum 'In1 P2 Se1'
_cell_length_a 6.6125
_cell_length_b 6.6125
_cell_length_c 6.6125
_cell_angle_alpha 34.05
_cell_angle_beta 34.05
_cell_angle_gamma 34.05
_symmetry_space_group_name_H-M 'P 1'
_symmetry_Int_Tables_number 1
_symmetry_space_group_name_Hall 'P 1'
loop_
_atom_site_label
_atom_site_fract_x
_atom_site_fract_y
_atom_site_fract_z
_atom_site_occupancy
In1 0.7500 0.7500 0.7500 1
P1 0.9953 0.9953 0.9953 1
P2 0.5047 0.5047 0.5047 1
Se1 0.2500 0.2500 0.2500 1
```

Calculated values
**Symmetry**: R-3m
**Excess energy over the best structure of this formula in the dataset**: 0.223 eV/atom
**Total magnetization**: 0.000 μB/cell
**Formation energy (no corrections)**: 0.2487 eV per atom

(8)
VASP calculation (PBE) on an optimized crystal structure of InPSe4.

The structure in CIF format:
```
data_InPSe4
_chemical_formula_sum 'In2 P2 Se8'
_cell_length_a 10.5050
_cell_length_b 10.5230
_cell_length_c 7.4259
_cell_angle_alpha 97.86
_cell_angle_beta 97.73
_cell_angle_gamma 143.95
_symmetry_space_group_name_H-M 'P 1'
_symmetry_Int_Tables_number 1
_symmetry_space_group_name_Hall 'P 1'
loop_
_atom_site_label
_atom_site_fract_x
_atom_site_fract_y
_atom_site_fract_z
_atom_site_occupancy
In1 0.8733 0.6233 0.7467 1
In2 0.1267 0.3767 0.2533 1
P1 0.3736 0.1236 0.7472 1
P2 0.6264 0.8764 0.2528 1
Se1 0.5798 0.7068 0.4515 1
Se2 0.7971 0.9245 0.0540 1
Se3 0.1282 0.7553 0.5485 1
Se4 0.7430 0.3705 0.9460 1
Se5 0.4202 0.2932 0.5485 1
Se6 0.8718 0.2447 0.4515 1
Se7 0.2029 0.0755 0.9460 1
Se8 0.2570 0.6295 0.0540 1
```

Calculated values
**Symmetry**: C2/c
**Total magnetization**: 0.000 μB/cell
**Formation energy (no corrections)**: -0.2239 eV per atom

What is the formula in the seventh record?
InP2Se